{"formula": "PuIn6Ag12", "functional": "PBE-GGA", "state": "optimized geometry", "lattice_angstrom": [[6.1896, 3.5735, 3.1672], [-6.1896, 3.5735, 3.1672], [0.0000, -7.1471, 3.1672]], "species": ["Pu", "In", "In", "In", "In", "In", "In", "Ag", "Ag", "Ag", "Ag", "Ag", "Ag", "Ag", "Ag", "Ag", "Ag", "Ag", "Ag"], "frac_coords": [[0.0000, 0.0000, 0.0000], [0.2917, 0.2917, 0.7007], [0.2917, 0.7007, 0.2917], [0.2993, 0.7083, 0.7083], [0.7007, 0.2917, 0.2917], [0.7083, 0.2993, 0.7083], [0.7083, 0.7083, 0.2993], [0.1109, 0.5000, 0.8891], [0.1109, 0.8891, 0.5000], [0.1176, 0.3590, 0.3590], [0.3590, 0.1176, 0.3590], [0.3590, 0.3590, 0.1176], [0.5000, 0.1109, 0.8891], [0.5000, 0.8891, 0.1109], [0.6410, 0.6410, 0.8824], [0.6410, 0.8824, 0.6410], [0.8824, 0.6410, 0.6410], [0.8891, 0.1109, 0.5000], [0.8891, 0.5000, 0.1109]], "m_tot_mub_per_fu": 6.00, "ef_kj_per_mol_fu": 161, "dft_energy_ev_per_atom": -3.332}